Compound: KLiMoO2
Source: the Alexandria database
Functional: PBE+U
Structure: relaxed

Results
total DFT energy (no corrections)	-4.35	eV per atom
spin magnetization	2.387	Bohr magnetons per cell
density	2.63	g/cm3

Structure (POSCAR):
```
KLiMoO2
1.0
-2.204 2.145 2.627
3.275 -2.891 5.109
2.760 2.955 -0.097
Mo K O Li
1 1 2 1
Direct
0.000 0.000 0.000
0.000 0.500 0.000
0.000 0.000 0.500
0.500 0.000 0.000
0.500 0.500 0.500
```